Entry from OQMD via LeMat-Bulk: an optimized crystal structure of Si17NiGe13P (GGA-PBE).

The raw total energy is -162.9 eV/f.u. For the energy above the most stable polymorph in this dataset, the calculation gives 0 meV/atom.

a b c (Å): 5.5726 3.9417 30.8239
angles (deg): 90.00 90.09 90.00
Space group Pm (No. 6)
One atom of each set of equivalent atoms:
Si  0.0000  0.0000  0.0000
Si  0.9995  0.0000  0.4857
Si  0.0014  0.0000  0.7375
Si  0.0106  0.0000  0.0957
Si  0.0116  0.0000  0.8650
Si  0.2461  0.0000  0.2910
Si  0.2477  0.0000  0.8006
Si  0.2500  0.0000  0.5471
Si  0.2607  0.0000  0.6764
Si  0.5006  0.5000  0.6757
Si  0.5059  0.5000  0.1676
Si  0.5109  0.5000  0.4233
Si  0.7559  0.5000  0.2292
Si  0.7583  0.5000  0.9939
Si  0.7600  0.5000  0.7360
Si  0.7619  0.5000  0.4846
Si  0.9967  0.0000  0.2283
Ni  0.3049  0.0000  0.0473
Ge  0.0102  0.0000  0.3569
Ge  0.0118  0.0000  0.6122
Ge  0.2462  0.0000  0.9327
Ge  0.2538  0.0000  0.1634
Ge  0.2618  0.0000  0.4234
Ge  0.4967  0.5000  0.2922
Ge  0.4988  0.5000  0.5464
Ge  0.4999  0.5000  0.7987
Ge  0.5114  0.5000  0.9297
Ge  0.7482  0.5000  0.3584
Ge  0.7496  0.5000  0.6121
Ge  0.7588  0.5000  0.1042
Ge  0.7606  0.5000  0.8637
P  0.4780  0.5000  0.0470

***

Entry from OQMD via LeMat-Bulk: an optimized crystal structure of Si17NiGe13P (GGA-PBE).

The raw total energy is -162.3 eV/f.u. For the energy above the most stable polymorph in this dataset, the calculation gives 17 meV/atom.

a b c (Å): 6.8430 10.3194 10.3271
angles (deg): 81.23 83.59 71.18
Space group P1 (No. 1)
One atom of each set of equivalent atoms:
Si  0.0000  0.0000  0.0000
Si  0.0003  0.3743  0.8828
Si  0.0069  0.8687  0.3815
Si  0.0095  0.2480  0.2575
Si  0.1302  0.2626  0.4577
Si  0.1342  0.1419  0.8381
Si  0.1387  0.6424  0.3285
Si  0.1423  0.7685  0.9485
Si  0.4989  0.0410  0.8292
Si  0.5055  0.5696  0.3105
Si  0.5087  0.9370  0.1892
Si  0.5115  0.7028  0.9265
Si  0.5141  0.3127  0.0606
Si  0.6276  0.7092  0.1359
Si  0.6308  0.5776  0.5136
Si  0.6320  0.0778  0.0183
Si  0.6347  0.4616  0.8957
Ni  0.6605  0.8280  0.7759
Ge  0.0046  0.5011  0.5000
Ge  0.0056  0.6304  0.1249
Ge  0.0069  0.1226  0.6357
Ge  0.1323  0.5174  0.7122
Ge  0.1330  0.0123  0.2070
Ge  0.1363  0.8812  0.5868
Ge  0.1398  0.3868  0.0824
Ge  0.5031  0.1859  0.4426
Ge  0.5145  0.4363  0.6934
Ge  0.5188  0.8008  0.5928
Ge  0.6256  0.1900  0.6565
Ge  0.6329  0.9441  0.3980
Ge  0.6356  0.3320  0.2658
P  0.9984  0.7503  0.7633

***

Entry from OQMD via LeMat-Bulk: an optimized crystal structure of Si16NiGe12P3 (GGA-PBE).

The raw total energy is -163.4 eV/f.u.

a b c (Å): 6.7802 10.2876 10.3671
angles (deg): 81.37 71.00 83.52
Space group P1 (No. 1)
One atom of each set of equivalent atoms:
Si  0.0000  0.0000  0.0000
Si  0.0004  0.1137  0.6200
Si  0.0101  0.6157  0.1195
Si  0.0176  0.4898  0.5008
Si  0.1388  0.6940  0.5132
Si  0.1416  0.9541  0.7644
Si  0.1433  0.0727  0.3845
Si  0.1434  0.5676  0.8922
Si  0.5157  0.9361  0.6841
Si  0.5170  0.0490  0.3012
Si  0.5263  0.4306  0.1786
Si  0.5258  0.8120  0.0564
Si  0.6302  0.0223  0.0657
Si  0.6301  0.8874  0.4541
Si  0.6379  0.7660  0.8272
Si  0.6402  0.6347  0.1952
Ni  0.4977  0.1667  0.9269
Ge  0.0084  0.8687  0.3715
Ge  0.0088  0.3612  0.8873
Ge  0.0162  0.7434  0.7498
Ge  0.1372  0.3122  0.6448
Ge  0.1461  0.4425  0.2621
Ge  0.1466  0.8208  0.1306
Ge  0.5147  0.6810  0.4308
Ge  0.5192  0.5552  0.8198
Ge  0.5266  0.2915  0.5645
Ge  0.6249  0.3543  0.9576
Ge  0.6425  0.5057  0.5806
Ge  0.6441  0.2525  0.3213
P  0.0228  0.2338  0.2380
P  0.1647  0.1832  0.0110
P  0.6380  0.1252  0.7162

***

Entry from OQMD via LeMat-Bulk: an optimized crystal structure of SmNi2GeP (GGA-PBE).

The raw total energy is -30.3 eV/f.u.

a b c (Å): 4.0023 4.0023 9.7369
angles (deg): 90.00 90.00 90.00
Space group I4mm (No. 107)
One atom of each set of equivalent atoms:
Sm  0.0000  0.0000  0.0000
Ni  0.0000  0.5000  0.2412
Ge  0.0000  0.0000  0.3729
P  0.0000  0.0000  0.6293

***

Entry from OQMD via LeMat-Bulk: an optimized crystal structure of SrNi2GeP (GGA-PBE).

The raw total energy is -26.2 eV/f.u.

a b c (Å): 4.0911 4.0911 10.1210
angles (deg): 90.00 90.00 90.00
Space group I4mm (No. 107)
One atom of each set of equivalent atoms:
Sr  0.0000  0.0000  0.0000
Ni  0.0000  0.5000  0.2588
Ge  0.0000  0.0000  0.6373
P  0.0000  0.0000  0.3591

***

Entry from OQMD via LeMat-Bulk: an optimized crystal structure of TmNi2GeP (GGA-PBE).

The raw total energy is -29.9 eV/f.u.

a b c (Å): 3.9257 3.9257 9.6366
angles (deg): 90.00 90.00 90.00
Space group I4mm (No. 107)
One atom of each set of equivalent atoms:
Tm  0.0000  0.0000  0.0000
Ni  0.0000  0.5000  0.2401
Ge  0.0000  0.0000  0.3763
P  0.0000  0.0000  0.6248